[1]
Density functional theory data (PBE) for crystalline Mg16Al12S at its relaxed geometry.

```
Mg16Al12S
1.0
5.261 -7.351 0.012
5.261 7.351 0.012
-5.026 0.000 7.513
Al Mg S
12 16 1
direct
0.807 0.807 0.195
0.985 0.173 0.360
0.195 0.807 0.807
0.173 0.985 0.360
0.652 0.652 0.842
0.985 0.360 0.173
0.842 0.652 0.652
0.360 0.173 0.985
0.807 0.195 0.807
0.173 0.360 0.985
0.360 0.985 0.173
0.652 0.842 0.652
0.033 0.033 0.033
0.652 0.998 0.998
0.998 0.674 0.404
0.674 0.998 0.404
0.710 0.308 0.308
0.998 0.998 0.652
0.998 0.652 0.998
0.674 0.404 0.998
0.404 0.998 0.674
0.298 0.581 0.581
0.998 0.404 0.674
0.404 0.674 0.998
0.308 0.710 0.308
0.308 0.308 0.710
0.581 0.298 0.581
0.581 0.581 0.298
0.391 0.391 0.391
```

## Properties
**Formation energy without anion corrections**: -0.033 eV per atom
**Total DFT energy (no corrections)**: -2.6039 eV per atom

***

[2]
Density functional theory data (PBE) for crystalline RbErP2O6 at its relaxed geometry.

```
RbErP2O6
1.0
-6.069 2.840 0.008
0.165 -5.031 4.423
7.933 7.303 1.817
O P Er Rb
12 4 2 2
direct
0.970 0.488 0.312
0.619 0.764 0.013
0.512 0.030 0.188
0.381 0.236 0.987
0.236 0.381 0.487
0.703 0.793 0.267
0.030 0.512 0.688
0.793 0.703 0.767
0.488 0.970 0.812
0.764 0.619 0.513
0.297 0.207 0.733
0.207 0.297 0.233
0.067 0.310 0.318
0.690 0.933 0.182
0.310 0.067 0.818
0.933 0.690 0.682
0.580 0.420 0.250
0.420 0.580 0.750
0.168 0.832 0.250
0.832 0.168 0.750
```

## Properties
**Formation energy without anion corrections**: -2.572 eV per atom
**Total DFT energy (no corrections)**: -7.1823 eV per atom

***

[3]
Density functional theory data (PBE) for crystalline Pm4FeI5 at its relaxed geometry.

```
Pm4FeI5
1.0
4.112 0.000 -0.896
-0.469 9.074 -2.154
0.006 0.023 9.919
I Fe Pm
5 1 4
direct
0.500 0.500 0.000
0.167 0.332 0.334
0.829 0.165 0.658
0.171 0.835 0.342
0.833 0.668 0.666
0.500 0.000 0.000
0.000 0.785 0.001
0.000 0.215 0.999
0.369 0.933 0.737
0.631 0.067 0.263
```

## Properties
**Formation energy without anion corrections**: -0.993 eV per atom
**Total DFT energy (no corrections)**: -4.5150 eV per atom

***

[4]
Density functional theory data (PBE) for crystalline NdBe2AsO8 at its relaxed geometry.

```
NdBe2AsO8
1.0
4.693 0.000 0.000
-2.346 4.064 0.000
0.000 0.000 6.776
O Be Nd As
8 2 1 1
direct
0.031 0.316 0.671
0.667 0.333 0.029
0.333 0.667 0.971
0.285 0.969 0.671
0.316 0.285 0.329
0.684 0.715 0.671
0.969 0.684 0.329
0.715 0.031 0.329
0.667 0.333 0.272
0.333 0.667 0.728
0.000 0.000 0.000
0.000 0.000 0.500
```

## Properties
**Formation energy without anion corrections**: -1.529 eV per atom
**Total DFT energy (no corrections)**: -6.2405 eV per atom

***

[5]
Density functional theory data (PBE) for crystalline Pm3Pr5In3 at its relaxed geometry.

```
Pm3Pr5In3
1.0
-2.680 1.657 1.493
-5.954 -1.196 -9.359
-0.431 -7.840 7.926
Pm In Pr
3 3 5
direct
0.500 0.611 0.611
0.500 0.000 0.389
0.500 0.389 0.000
0.000 0.847 0.847
0.000 0.000 0.153
0.000 0.153 0.000
0.500 0.299 0.299
0.500 0.000 0.701
0.500 0.701 0.000
0.500 0.667 0.333
0.500 0.333 0.667
```

## Properties
**Total DFT energy (no corrections)**: -4.1433 eV per atom
**E_form**: 0.072 eV/atom

***

[6]
Density functional theory data (PBE) for crystalline La5DyAl6 at its relaxed geometry.

```
La5DyAl6
1.0
0.024 3.603 3.934
6.813 -2.323 2.086
6.756 5.988 -1.936
Dy Al La
1 6 5
direct
0.000 0.000 0.000
0.500 0.224 0.000
0.838 0.075 0.322
0.838 0.603 0.322
0.162 0.397 0.678
0.162 0.925 0.678
0.500 0.776 0.000
0.000 0.500 0.000
0.663 0.662 0.676
0.676 0.176 0.648
0.324 0.824 0.352
0.337 0.338 0.324
```

## Properties
**Total DFT energy (no corrections)**: -4.6696 eV per atom
**E_form**: -0.362 eV/atom

***

Please write out number 4 again, unchanged.
Density functional theory data (PBE) for crystalline NdBe2AsO8 at its relaxed geometry.

```
NdBe2AsO8
1.0
4.693 0.000 0.000
-2.346 4.064 0.000
0.000 0.000 6.776
O Be Nd As
8 2 1 1
direct
0.031 0.316 0.671
0.667 0.333 0.029
0.333 0.667 0.971
0.285 0.969 0.671
0.316 0.285 0.329
0.684 0.715 0.671
0.969 0.684 0.329
0.715 0.031 0.329
0.667 0.333 0.272
0.333 0.667 0.728
0.000 0.000 0.000
0.000 0.000 0.500
```

## Properties
**Formation energy without anion corrections**: -1.529 eV per atom
**Total DFT energy (no corrections)**: -6.2405 eV per atom